Entry 1:
{
  "formula": "YbP3",
  "functional": "GGA-PBE",
  "state": "optimized geometry",
  "cell": [[4.090, 0.000, 0.000], [0.000, 4.090, 0.000], [0.000, 0.000, 4.090]],
  "species": ["Yb", "P", "P", "P"],
  "frac_coords": [[0.000, 0.000, 0.000], [0.000, 0.500, 0.500], [0.500, 0.000, 0.500], [0.500, 0.500, 0.000]],
  "sg": "Pm-3m, No. 221",
  "rho_g_cm3": 6.46
}

=====

Entry 2:
{
  "formula": "Yb3P",
  "functional": "GGA-PBE",
  "state": "optimized geometry",
  "cell": [[6.622, 0.000, 0.000], [-3.311, 5.735, 0.000], [0.000, 0.000, 5.187]],
  "species": ["Yb", "Yb", "Yb", "Yb", "Yb", "Yb", "P", "P"],
  "frac_coords": [[0.175, 0.350, 0.250], [0.175, 0.825, 0.250], [0.350, 0.175, 0.750], [0.650, 0.825, 0.250], [0.825, 0.175, 0.750], [0.825, 0.650, 0.750], [0.333, 0.667, 0.750], [0.667, 0.333, 0.250]],
  "sg": "P6_3/mmc, No. 194",
  "rho_g_cm3": 9.27
}

=====

Entry 3:
{
  "formula": "Zn3P2",
  "functional": "GGA-PBE",
  "state": "optimized geometry",
  "cell": [[5.708, 0.000, 0.000], [0.000, 5.708, 0.000], [0.000, 0.000, 5.708]],
  "species": ["Zn", "Zn", "Zn", "Zn", "Zn", "Zn", "P", "P", "P", "P"],
  "frac_coords": [[0.250, 0.250, 0.750], [0.250, 0.750, 0.250], [0.250, 0.750, 0.750], [0.750, 0.250, 0.250], [0.750, 0.250, 0.750], [0.750, 0.750, 0.250], [0.000, 0.000, 0.000], [0.000, 0.500, 0.500], [0.500, 0.000, 0.500], [0.500, 0.500, 0.000]],
  "sg": "Pn-3m, No. 224",
  "rho_g_cm3": 4.61
}

=====

Entry 4:
{
  "formula": "Zn2P",
  "functional": "GGA-PBE",
  "state": "optimized geometry",
  "cell": [[5.250, 0.000, 0.000], [0.000, 5.250, 0.000], [0.000, 0.000, 5.250]],
  "species": ["Zn", "Zn", "Zn", "Zn", "P", "P"],
  "frac_coords": [[0.000, 0.000, 0.000], [0.000, 0.500, 0.500], [0.500, 0.000, 0.500], [0.500, 0.500, 0.000], [0.250, 0.250, 0.250], [0.750, 0.750, 0.750]],
  "sg": "Pn-3m, No. 224",
  "rho_g_cm3": 3.71
}

=====

Entry 5:
{
  "formula": "ZnP2",
  "functional": "GGA-PBE",
  "state": "optimized geometry",
  "cell": [[8.889, 0.000, 0.000], [0.000, 7.323, 0.000], [-1.630, 0.000, 7.430]],
  "species": ["Zn", "Zn", "Zn", "Zn", "Zn", "Zn", "Zn", "Zn", "P", "P", "P", "P", "P", "P", "P", "P", "P", "P", "P", "P", "P", "P", "P", "P"],
  "frac_coords": [[0.081, 0.247, 0.394], [0.081, 0.253, 0.894], [0.393, 0.596, 0.225], [0.393, 0.904, 0.725], [0.607, 0.096, 0.275], [0.607, 0.404, 0.775], [0.919, 0.747, 0.106], [0.919, 0.753, 0.606], [0.078, 0.744, 0.895], [0.078, 0.756, 0.395], [0.235, 0.519, 0.441], [0.235, 0.981, 0.941], [0.242, 0.516, 0.928], [0.242, 0.984, 0.428], [0.375, 0.573, 0.716], [0.375, 0.927, 0.216], [0.625, 0.073, 0.784], [0.625, 0.427, 0.284], [0.758, 0.016, 0.572], [0.758, 0.484, 0.072], [0.765, 0.019, 0.059], [0.765, 0.481, 0.559], [0.922, 0.244, 0.605], [0.922, 0.256, 0.105]],
  "sg": "P2_1/c, No. 14",
  "rho_g_cm3": 3.50
}

=====

Entry 6:
{
  "formula": "Zn2P",
  "functional": "GGA-PBE",
  "state": "optimized geometry",
  "cell": [[1.923, -6.997, 0.000], [1.923, 6.997, 0.000], [0.000, 0.000, 3.787]],
  "species": ["Zn", "Zn", "Zn", "Zn", "P", "P"],
  "frac_coords": [[0.067, 0.933, 0.750], [0.247, 0.753, 0.250], [0.753, 0.247, 0.750], [0.933, 0.067, 0.250], [0.368, 0.632, 0.750], [0.632, 0.368, 0.250]],
  "sg": "Cmcm, No. 63",
  "rho_g_cm3": 5.27
}

=====

Entry 7:
{
  "formula": "ZnP2",
  "functional": "GGA-PBE",
  "state": "optimized geometry",
  "cell": [[0.000, 2.980, 2.980], [2.980, 0.000, 2.980], [2.980, 2.980, 0.000]],
  "species": ["Zn", "P", "P"],
  "frac_coords": [[0.000, 0.000, 0.000], [0.250, 0.250, 0.250], [0.750, 0.750, 0.750]],
  "sg": "Fm-3m, No. 225",
  "rho_g_cm3": 4.00
}

=====

Entry 8:
{
  "formula": "Zn2P",
  "functional": "GGA-PBE",
  "state": "optimized geometry",
  "cell": [[4.629, 0.000, 0.000], [-2.315, 4.009, 0.000], [0.000, 0.000, 2.555]],
  "species": ["Zn", "Zn", "P"],
  "frac_coords": [[0.333, 0.667, 0.000], [0.667, 0.333, 0.000], [0.000, 0.000, 0.000]],
  "sg": "P6/mmm, No. 191",
  "rho_g_cm3": 5.67
}

=====

| no. | formation energy (meV per atom) |
| --- | --- |
| 1 | -225 |
| 2 | -461 |
| 3 | 2 |
| 4 | 245 |
| 5 | -241 |
| 6 | 142 |
| 7 | 468 |
| 8 | 241 |